Record 1
Material: SbW
Method: DFT, PBE-GGA
State: relaxed

Lattice parameters (Å, degrees): 9.1551 9.1551 3.7585 90.00 90.00 120.00
Closest atoms and distances in Å follow each position.
Element x y z (fractional)
Sb (0.0271, 0.2844, 0.2500)  4 W 2.67-2.89
Sb (0.2573, 0.9729, 0.2500)  4 W 2.67-2.89
Sb (0.2844, 0.2573, 0.7500)  4 W 2.67-2.89
Sb (0.7156, 0.7427, 0.2500)  4 W 2.67-2.89
Sb (0.7427, 0.0271, 0.7500)  4 W 2.67-2.89
Sb (0.9729, 0.7156, 0.7500)  4 W 2.67-2.89
W (0.1316, 0.6137, 0.2500)  4 Sb 2.67-2.89, 4 W 2.87-2.94
W (0.3863, 0.5179, 0.2500)  4 Sb 2.67-2.89, 4 W 2.87-2.94
W (0.4821, 0.8684, 0.2500)  4 Sb 2.67-2.89, 4 W 2.87-2.94
W (0.5179, 0.1316, 0.7500)  4 Sb 2.67-2.89, 4 W 2.87-2.94
W (0.6137, 0.4821, 0.7500)  4 Sb 2.67-2.89, 4 W 2.87-2.94
W (0.8684, 0.3863, 0.7500)  4 Sb 2.67-2.89, 4 W 2.87-2.94

Summary:
* E: -7.776 eV per atom
* E_form (uncorrected): 0.76 eV per atom
* V: 22.73 A^3/atom

***

Record 2
Material: SbW
Method: DFT, PBE-GGA
State: relaxed

Lattice parameters (Å, degrees): 7.8317 7.8317 7.8317 92.38 92.38 156.50
Closest atoms and distances in Å follow each position.
Element x y z (fractional)
Sb (0.1355, 0.1900, 0.3255)  3 W 2.85-3.02, 2 Sb 3.19
Sb (0.1900, 0.8645, 0.0544)  3 W 2.85-3.02, 2 Sb 3.19
Sb (0.8100, 0.1355, 0.9456)  3 W 2.85-3.02, 2 Sb 3.19
Sb (0.8645, 0.8100, 0.6745)  3 W 2.85-3.02, 2 Sb 3.19
W (0.0940, 0.6035, 0.6975)  4 W 2.67, 2 Sb 2.85
W (0.3965, 0.0940, 0.4906)  4 W 2.67, 2 Sb 2.85
W (0.6035, 0.9060, 0.5094)  4 W 2.67, 2 Sb 2.85
W (0.9060, 0.3965, 0.3025)  4 W 2.67, 2 Sb 2.85

Summary:
* E: -8.101 eV per atom
* E_form (uncorrected): 0.44 eV per atom
* V: 23.45 A^3/atom

***

Record 3
Material: SbW2
Method: DFT, PBE-GGA
State: relaxed

Lattice parameters (Å, degrees): 6.4084 3.4025 10.4315 90.00 90.00 90.00
Closest atoms and distances in Å follow each position.
Element x y z (fractional)
Sb (0.0813, 0.2500, 0.1213)  5 W 2.76-2.87
Sb (0.4187, 0.7500, 0.6213)  5 W 2.76-2.87
Sb (0.5813, 0.2500, 0.3787)  5 W 2.76-2.87
Sb (0.9187, 0.7500, 0.8787)  5 W 2.76-2.87
W (0.0958, 0.2500, 0.6863)  3 W 2.60-2.75, 4 Sb 2.76-2.87
W (0.1524, 0.2500, 0.4248)  3 W 2.60-2.75, 1 Sb 2.79
W (0.3476, 0.7500, 0.9248)  3 W 2.60-2.75, 1 Sb 2.79
W (0.4042, 0.7500, 0.1863)  3 W 2.60-2.75, 4 Sb 2.76-2.87
W (0.5958, 0.2500, 0.8137)  3 W 2.60-2.75, 4 Sb 2.76-2.87
W (0.6524, 0.2500, 0.0752)  3 W 2.60-2.75, 1 Sb 2.79
W (0.8476, 0.7500, 0.5752)  3 W 2.60-2.75, 1 Sb 2.79
W (0.9042, 0.7500, 0.3137)  3 W 2.60-2.75, 4 Sb 2.76-2.87

Summary:
* E: -9.476 eV per atom
* E_form (uncorrected): 0.53 eV per atom
* V: 18.95 A^3/atom